Record 1
# TaAgSn2 | Alexandria via LeMat-Bulk | GGA-PBE | optimized geometry
# Distance to the lowest polymorph of the same formula (meV/atom): 0.0
# DFT total energy (eV per cell): -83.47
# Fermi-level density of states (states/eV/cell): 14.5
# Magnetic moment (μB/atom): 0.000
data_TaAgSn2
_chemical_formula_sum 'Ta4 Ag4 Sn8'
_cell_length_a 6.971
_cell_length_b 6.971
_cell_length_c 6.971
_cell_angle_alpha 90.00
_cell_angle_beta 90.00
_cell_angle_gamma 90.00
_symmetry_space_group_name_H-M 'F m -3 m'
_symmetry_Int_Tables_number 225
_symmetry_space_group_name_Hall '-F 4 2 3'
loop_
_atom_site_label
_atom_site_fract_x
_atom_site_fract_y
_atom_site_fract_z
Ta1 0.000 0.000 0.000
Ag1 0.000 0.000 0.500
Sn1 0.250 0.250 0.250

***

Record 2
# CuSnPS2 | Alexandria via LeMat-Bulk | GGA-PBE | optimized geometry
# Distance to the lowest polymorph of the same formula (meV/atom): 590.4
# DFT total energy (eV per cell): -16.82
# Fermi-level density of states (states/eV/cell): 3.6
# Magnetic moment (μB/atom): 0.278
data_CuSnPS2
_chemical_formula_sum 'Cu1 Sn1 P1 S2'
_cell_length_a 5.013
_cell_length_b 5.013
_cell_length_c 5.055
_cell_angle_alpha 90.00
_cell_angle_beta 90.00
_cell_angle_gamma 90.00
_symmetry_space_group_name_H-M 'P 4/m m m'
_symmetry_Int_Tables_number 123
_symmetry_space_group_name_Hall '-P 4 2'
loop_
_atom_site_label
_atom_site_fract_x
_atom_site_fract_y
_atom_site_fract_z
Cu1 0.000 0.000 0.000
Sn1 0.500 0.500 0.500
P1 0.500 0.500 0.000
S1 0.000 0.500 0.500

***

Record 3
# DyHfPa | Alexandria via LeMat-Bulk | GGA-PBE | optimized geometry
# Distance to the lowest polymorph of the same formula (meV/atom): 0.0
# DFT total energy (eV per cell): -47.04
# Fermi-level density of states (states/eV/cell): 11.5
# Magnetic moment (μB/atom): 0.000
data_DyHfPa
_chemical_formula_sum 'Dy2 Hf2 Pa2'
_cell_length_a 3.220
_cell_length_b 3.220
_cell_length_c 15.017
_cell_angle_alpha 90.00
_cell_angle_beta 90.00
_cell_angle_gamma 90.00
_symmetry_space_group_name_H-M 'I 4 m m'
_symmetry_Int_Tables_number 107
_symmetry_space_group_name_Hall 'I 4 -2'
loop_
_atom_site_label
_atom_site_fract_x
_atom_site_fract_y
_atom_site_fract_z
Dy1 0.000 0.000 0.000
Hf1 0.000 0.000 0.669
Pa1 0.000 0.000 0.323

***

Record 4
# Tl2InF2 | Alexandria via LeMat-Bulk | GGA-PBE | optimized geometry
# DFT total energy (eV per cell): -34.71
# Fermi-level density of states (states/eV/cell): 3.7
# Magnetic moment (μB/atom): 0.000
data_Tl2InF2
_chemical_formula_sum 'Tl4 In2 F4'
_cell_length_a 7.264
_cell_length_b 7.264
_cell_length_c 4.441
_cell_angle_alpha 90.00
_cell_angle_beta 90.00
_cell_angle_gamma 90.00
_symmetry_space_group_name_H-M 'P 4/m b m'
_symmetry_Int_Tables_number 127
_symmetry_space_group_name_Hall '-P 4 2ab'
loop_
_atom_site_label
_atom_site_fract_x
_atom_site_fract_y
_atom_site_fract_z
Tl1 0.166 0.334 0.000
In1 0.000 0.000 0.500
F1 0.187 0.687 0.500

***

Record 5
# Sm8Ho3Sc | Alexandria via LeMat-Bulk | GGA-PBE | optimized geometry
# DFT total energy (eV per cell): -101.67
# Fermi-level density of states (states/eV/cell): 39.3
# Magnetic moment (μB/atom): 0.000
data_Sm8Ho3Sc
_chemical_formula_sum 'Sm16 Ho6 Sc2'
_cell_length_a 8.648
_cell_length_b 8.648
_cell_length_c 11.515
_cell_angle_alpha 90.00
_cell_angle_beta 90.00
_cell_angle_gamma 90.00
_symmetry_space_group_name_H-M 'I -4 2 m'
_symmetry_Int_Tables_number 121
_symmetry_space_group_name_Hall 'I -4 2'
loop_
_atom_site_label
_atom_site_fract_x
_atom_site_fract_y
_atom_site_fract_z
Sm1 0.127 0.127 0.241
Sm2 0.237 0.237 0.977
Ho1 0.000 0.000 0.500
Ho2 0.000 0.500 0.250
Sc1 0.000 0.000 0.000

***

Record 6
# SrAlAg2 | Alexandria via LeMat-Bulk | GGA-PBE | optimized geometry
# DFT total energy (eV per cell): -48.71
# Fermi-level density of states (states/eV/cell): 6.4
# Magnetic moment (μB/atom): 0.000
data_SrAlAg2
_chemical_formula_sum 'Sr4 Al4 Ag8'
_cell_length_a 8.065
_cell_length_b 7.317
_cell_length_c 6.357
_cell_angle_alpha 90.00
_cell_angle_beta 90.00
_cell_angle_gamma 90.00
_symmetry_space_group_name_H-M 'P n m a'
_symmetry_Int_Tables_number 62
loop_
_symmetry_equiv_pos_as_xyz
'x,y,z'
'-x,-y,-z'
'-x+1/2,-y,z+1/2'
'x+1/2,y,-z+1/2'
'x+1/2,-y+1/2,-z+1/2'
'-x+1/2,y+1/2,z+1/2'
'-x,y+1/2,-z'
'x,-y+1/2,z'
loop_
_atom_site_label
_atom_site_fract_x
_atom_site_fract_y
_atom_site_fract_z
Sr1 0.026 0.250 0.144
Al1 0.131 0.750 0.351
Ag1 0.171 0.056 0.586

***

Record 7
# BaAcI2N | Alexandria via LeMat-Bulk | GGA-PBE | optimized geometry
# DFT total energy (eV per cell): -48.00
# Fermi-level density of states (states/eV/cell): 3.9
# Magnetic moment (μB/atom): 0.059
data_BaAcI2N
_chemical_formula_sum 'Ba2 Ac2 I4 N2'
_cell_length_a 4.586
_cell_length_b 4.586
_cell_length_c 18.634
_cell_angle_alpha 90.00
_cell_angle_beta 90.00
_cell_angle_gamma 90.00
_symmetry_space_group_name_H-M 'P 4/n m m'
_symmetry_Int_Tables_number 129
loop_
_symmetry_equiv_pos_as_xyz
'x,y,z'
'-x,-y,-z'
'-y+1/2,x,z'
'y+1/2,-x,-z'
'-x+1/2,-y+1/2,z'
'x+1/2,y+1/2,-z'
'y,-x+1/2,z'
'-y,x+1/2,-z'
'x+1/2,-y,-z'
'-x+1/2,y,z'
'-y,-x,-z'
'y,x,z'
'-x,y+1/2,-z'
'x,-y+1/2,z'
'y+1/2,x+1/2,-z'
'-y+1/2,-x+1/2,z'
loop_
_atom_site_label
_atom_site_fract_x
_atom_site_fract_y
_atom_site_fract_z
Ba1 0.250 0.250 0.138
Ac1 0.250 0.250 0.557
I1 0.250 0.250 0.312
I2 0.250 0.250 0.923
N1 0.250 0.750 0.500

***

Record 8
# CsAcCu2F8 | Alexandria via LeMat-Bulk | GGA-PBE | optimized geometry
# DFT total energy (eV per cell): -57.66
# Fermi-level density of states (states/eV/cell): 15.1
# Magnetic moment (μB/atom): 0.167
data_CsAcCu2F8
_chemical_formula_sum 'Cs1 Ac1 Cu2 F8'
_cell_length_a 5.5947
_cell_length_b 5.5947
_cell_length_c 9.3387
_cell_angle_alpha 90.00
_cell_angle_beta 90.00
_cell_angle_gamma 120.00
_symmetry_space_group_name_H-M 'P -3'
_symmetry_Int_Tables_number 147
loop_
_symmetry_equiv_pos_as_xyz
'x,y,z'
'-x,-y,-z'
'-y,x-y,z'
'y,-x+y,-z'
'-x+y,-x,z'
'x-y,x,-z'
loop_
_atom_site_label
_atom_site_fract_x
_atom_site_fract_y
_atom_site_fract_z
Cs1 0.0000 0.0000 0.0000
Ac1 0.0000 0.0000 0.5000
Cu1 0.3333 0.6667 0.7735
F1 0.0502 0.3514 0.6677
F2 0.3333 0.6667 0.9713

***

Record 9
# Re3Ir | Alexandria via LeMat-Bulk | GGA-PBE | optimized geometry
# DFT total energy (eV per cell): -94.02
# Fermi-level density of states (states/eV/cell): 4.1
# Magnetic moment (μB/atom): 0.000
data_Re3Ir
_chemical_formula_sum 'Re6 Ir2'
_cell_length_a 4.400
_cell_length_b 5.570
_cell_length_c 4.821
_cell_angle_alpha 90.00
_cell_angle_beta 90.00
_cell_angle_gamma 90.00
_symmetry_space_group_name_H-M 'P m m n'
_symmetry_Int_Tables_number 59
loop_
_symmetry_equiv_pos_as_xyz
'x,y,z'
'-x,-y,-z'
'-x+1/2,-y+1/2,z'
'x+1/2,y+1/2,-z'
'x+1/2,-y,-z'
'-x+1/2,y,z'
'-x,y+1/2,-z'
'x,-y+1/2,z'
loop_
_atom_site_label
_atom_site_fract_x
_atom_site_fract_y
_atom_site_fract_z
Re1 0.250 0.003 0.165
Re2 0.250 0.750 0.676
Ir1 0.250 0.250 0.667

***

Record 10
# Ga3HgSe | Alexandria via LeMat-Bulk | GGA-PBE | optimized geometry
# Distance to the lowest polymorph of the same formula (meV/atom): 45.7
# DFT total energy (eV per cell): -11.20
# Fermi-level density of states (states/eV/cell): 2.6
# Magnetic moment (μB/atom): 0.000
data_Ga3HgSe
_chemical_formula_sum 'Ga3 Hg1 Se1'
_cell_length_a 5.353
_cell_length_b 5.353
_cell_length_c 5.353
_cell_angle_alpha 90.00
_cell_angle_beta 90.00
_cell_angle_gamma 90.00
_symmetry_space_group_name_H-M 'P m -3 m'
_symmetry_Int_Tables_number 221
_symmetry_space_group_name_Hall '-P 4 2 3'
loop_
_atom_site_label
_atom_site_fract_x
_atom_site_fract_y
_atom_site_fract_z
Ga1 0.000 0.000 0.500
Hg1 0.500 0.500 0.500
Se1 0.000 0.000 0.000

***

Record 11
# Mg5In2Ir2Rh | Alexandria via LeMat-Bulk | GGA-PBE | optimized geometry
# DFT total energy (eV per cell): -81.89
# Fermi-level density of states (states/eV/cell): 9.4
# Magnetic moment (μB/atom): 0.000
data_Mg5In2Ir2Rh
_chemical_formula_sum 'Mg10 In4 Ir4 Rh2'
_cell_length_a 9.474
_cell_length_b 9.474
_cell_length_c 4.127
_cell_angle_alpha 90.00
_cell_angle_beta 90.00
_cell_angle_gamma 90.00
_symmetry_space_group_name_H-M 'P 4/m b m'
_symmetry_Int_Tables_number 127
_symmetry_space_group_name_Hall '-P 4 2ab'
loop_
_atom_site_label
_atom_site_fract_x
_atom_site_fract_y
_atom_site_fract_z
Mg1 0.000 0.500 0.000
Mg2 0.075 0.198 0.000
In1 0.172 0.672 0.500
Ir1 0.124 0.376 0.500
Rh1 0.000 0.000 0.500

***

Record 12
# Ce2PrGd | Alexandria via LeMat-Bulk | GGA-PBE | optimized geometry
# Distance to the lowest polymorph of the same formula (meV/atom): 112.2
# DFT total energy (eV per cell): -89.42
# Fermi-level density of states (states/eV/cell): 32.6
# Magnetic moment (μB/atom): 1.441
data_Ce2PrGd
_chemical_formula_sum 'Ce6 Pr3 Gd3'
_cell_length_a 3.4267
_cell_length_b 3.4267
_cell_length_c 37.0702
_cell_angle_alpha 90.00
_cell_angle_beta 90.00
_cell_angle_gamma 120.00
_symmetry_space_group_name_H-M 'R -3 m'
_symmetry_Int_Tables_number 166
_symmetry_space_group_name_Hall '-R 3 2"'
loop_
_atom_site_label
_atom_site_fract_x
_atom_site_fract_y
_atom_site_fract_z
Ce1 0.0000 0.0000 0.0880
Pr1 0.0000 0.0000 0.0000
Gd1 0.0000 0.0000 0.5000